Entry 1:
# Sm2Ho2Th5 | Alexandria | PBE | optimized geometry
data_Sm2Ho2Th5
_chemical_formula_sum 'Sm4 Ho4 Th10'
_cell_length_a 11.350
_cell_length_b 5.025
_cell_length_c 10.771
_cell_angle_alpha 90.00
_cell_angle_beta 108.58
_cell_angle_gamma 90.00
_symmetry_space_group_name_H-M 'C 1 2/m 1'
_symmetry_Int_Tables_number 12
_symmetry_space_group_name_Hall '-C 2y'
loop_
_atom_site_label
_atom_site_type_symbol
_atom_site_fract_x
_atom_site_fract_y
_atom_site_fract_z
Sm1 Sm 0.166 0.000 0.057
Ho1 Ho 0.167 0.000 0.391
Th1 Th 0.000 0.500 0.500
Th2 Th 0.001 0.500 0.171
Th3 Th 0.164 0.000 0.721
# **DFT formation energy**: 1.40 kcal/mol of atoms



Entry 2:
# Ac3LaDy2Se6 | Alexandria | PBE | optimized geometry
data_Ac3LaDy2Se6
_chemical_formula_sum 'Ac6 La2 Dy4 Se12'
_cell_length_a 7.349
_cell_length_b 12.770
_cell_length_c 7.650
_cell_angle_alpha 90.00
_cell_angle_beta 108.82
_cell_angle_gamma 90.00
_symmetry_space_group_name_H-M 'C 1 2/m 1'
_symmetry_Int_Tables_number 12
_symmetry_space_group_name_Hall '-C 2y'
loop_
_atom_site_label
_atom_site_type_symbol
_atom_site_fract_x
_atom_site_fract_y
_atom_site_fract_z
Ac1 Ac 0.000 0.000 0.000
Ac2 Ac 0.000 0.338 0.000
La1 La 0.000 0.500 0.500
Dy1 Dy 0.000 0.167 0.500
Se1 Se 0.229 0.000 0.722
Se2 Se 0.248 0.328 0.728
# **ΔE_f (raw)**: -1840 meV/atom



Entry 3:
# Mg3ZrMo | Alexandria | PBE | optimized geometry
data_Mg3ZrMo
_chemical_formula_sum 'Mg3 Zr1 Mo1'
_cell_length_a 4.964
_cell_length_b 4.964
_cell_length_c 4.964
_cell_angle_alpha 90.00
_cell_angle_beta 90.00
_cell_angle_gamma 90.00
_symmetry_space_group_name_H-M 'P m -3 m'
_symmetry_Int_Tables_number 221
_symmetry_space_group_name_Hall '-P 4 2 3'
loop_
_atom_site_label
_atom_site_type_symbol
_atom_site_fract_x
_atom_site_fract_y
_atom_site_fract_z
Mg1 Mg 0.000 0.000 0.500
Zr1 Zr 0.500 0.500 0.500
Mo1 Mo 0.000 0.000 0.000
# **DFT formation energy**: 26.25 kcal/mol of atoms
# **Relative energy among the computed polymorphs**: 0.0 meV/atom



Entry 4:
# CoHRu | Alexandria | PBE | optimized geometry
data_CoHRu
_chemical_formula_sum 'Co4 H4 Ru4'
_cell_length_a 8.887
_cell_length_b 2.716
_cell_length_c 4.549
_cell_angle_alpha 90.00
_cell_angle_beta 101.11
_cell_angle_gamma 90.00
_symmetry_space_group_name_H-M 'C 1 m 1'
_symmetry_Int_Tables_number 8
_symmetry_space_group_name_Hall 'C -2y'
loop_
_atom_site_label
_atom_site_type_symbol
_atom_site_fract_x
_atom_site_fract_y
_atom_site_fract_z
Co1 Co 0.000 0.000 0.000
Co2 Co 0.245 0.500 0.229
H1 H 0.134 0.000 0.343
H2 H 0.372 0.500 0.613
Ru1 Ru 0.248 0.000 0.763
Ru2 Ru 0.499 0.000 0.495
# **Relative energy among the computed polymorphs**: 29.6 meV/atom



| no. | calculated volume (Å³/f.u.) |
| --- | --- |
| 1 | 291.1 |
| 2 | 339.8 |
| 3 | 122.4 |
| 4 | 26.9 |